Entry from Alexandria via LeMat-Bulk: crystalline YHgRhPb at its relaxed geometry (PBE-GGA).

Cell: 5.026 5.026 5.026 Å, 60.00 60.00 60.00°
Fractional positions:
Y  0.000  0.000  0.000
Hg  0.250  0.250  0.250
Rh  0.750  0.750  0.750
Pb  0.500  0.500  0.500

Its space-group type is F-43m (216). The formation energy from the elements is -0.309 eV per atom.